A plane-wave DFT calculation with PBEsol was carried out for crystalline LiScMo at its relaxed geometry.

Computed properties:
ΔE_f (meV/atom): 328.7
E above lowest polymorph (eV per atom): 0.000
Space group: Fmm2 (42)

a b c (Å): 3.3863 4.3626 14.4692
angles (deg): 90.00 90.00 90.00
Fractional coordinates of all 12 atoms:
Li  0.0000  0.0000  0.0000
Li  0.0000  0.5000  0.5000
Li  0.5000  0.0000  0.5000
Li  0.5000  0.5000  0.0000
Sc  0.0000  0.0000  0.3097
Sc  0.0000  0.5000  0.8097
Sc  0.5000  0.0000  0.8097
Sc  0.5000  0.5000  0.3097
Mo  0.0000  0.0000  0.6591
Mo  0.0000  0.5000  0.1591
Mo  0.5000  0.0000  0.1591
Mo  0.5000  0.5000  0.6591

A plane-wave DFT calculation with PBEsol was carried out for crystalline LiScZn2Mo at its relaxed geometry.

Computed properties:
ΔE_f (meV/atom): 1159.9
Space group: P4/mmm (123)

a b c (Å): 5.0776 5.0776 4.4418
angles (deg): 90.00 90.00 90.00
Fractional coordinates of all 5 atoms:
Li  0.0000  0.0000  0.0000
Sc  0.5000  0.5000  0.5000
Zn  0.0000  0.5000  0.5000
Zn  0.5000  0.0000  0.5000
Mo  0.5000  0.5000  0.0000

A plane-wave DFT calculation with PBEsol was carried out for crystalline LiMo4Se at its relaxed geometry.

Computed properties:
Uncorrected formation energy (eV/atom): 0.67
Space group: F-43m (216)

a b c (Å): 5.2029 5.2029 5.2029
angles (deg): 60.00 60.00 60.00
Fractional coordinates of all 6 atoms:
Li  0.0000  0.0000  0.0000
Mo  0.1219  0.6260  0.6260
Mo  0.6260  0.1219  0.6260
Mo  0.6260  0.6260  0.1219
Mo  0.6260  0.6260  0.6260
Se  0.2500  0.2500  0.2500

A plane-wave DFT calculation with PBEsol was carried out for crystalline LiMo3Se3 at its relaxed geometry.

Computed properties:
Uncorrected formation energy (eV/atom): -0.59
Space group: P6_3/m (176)

a b c (Å): 8.7653 8.7653 4.4677
angles (deg): 90.00 90.00 120.00
Fractional coordinates of all 14 atoms:
Li  0.3333  0.6667  0.2500
Li  0.6667  0.3333  0.7500
Mo  0.0280  0.8420  0.7500
Mo  0.1580  0.1860  0.7500
Mo  0.1860  0.0280  0.2500
Mo  0.8140  0.9720  0.7500
Mo  0.8420  0.8140  0.2500
Mo  0.9720  0.1580  0.2500
Se  0.0538  0.6874  0.2500
Se  0.3126  0.3664  0.2500
Se  0.3664  0.0538  0.7500
Se  0.6336  0.9462  0.2500
Se  0.6874  0.6336  0.7500
Se  0.9462  0.3126  0.7500

A plane-wave DFT calculation with PBEsol was carried out for crystalline LiMoSe2 at its relaxed geometry.

Computed properties:
Uncorrected formation energy (eV/atom): -0.28
Space group: I-42d (122)

a b c (Å): 5.8572 5.8572 10.9030
angles (deg): 90.00 90.00 90.00
Fractional coordinates of all 16 atoms:
Li  0.0000  0.0000  0.0000
Li  0.0000  0.5000  0.2500
Li  0.5000  0.0000  0.7500
Li  0.5000  0.5000  0.5000
Mo  0.0000  0.0000  0.5000
Mo  0.0000  0.5000  0.7500
Mo  0.5000  0.0000  0.2500
Mo  0.5000  0.5000  0.0000
Se  0.2269  0.2500  0.6250
Se  0.2500  0.7269  0.8750
Se  0.2500  0.7731  0.3750
Se  0.2731  0.2500  0.1250
Se  0.7269  0.7500  0.1250
Se  0.7500  0.2269  0.3750
Se  0.7500  0.2731  0.8750
Se  0.7731  0.7500  0.6250

A plane-wave DFT calculation with PBEsol was carried out for crystalline LiMoSe at its relaxed geometry.

Computed properties:
Uncorrected formation energy (eV/atom): -0.06
Space group: P3m1 (156)

a b c (Å): 3.0790 3.0790 6.3151
angles (deg): 90.00 90.00 120.00
Fractional coordinates of all 3 atoms:
Li  0.0000  0.0000  0.0000
Mo  0.3333  0.6667  0.6240
Se  0.6667  0.3333  0.3538

A plane-wave DFT calculation with PBEsol was carried out for crystalline LiSi2Mo2 at its relaxed geometry.

Computed properties:
Uncorrected formation energy (eV/atom): -0.35
Space group: P4/mbm (127)

a b c (Å): 6.4466 6.4466 3.2995
angles (deg): 90.00 90.00 90.00
Fractional coordinates of all 10 atoms:
Li  0.0000  0.0000  0.0000
Li  0.5000  0.5000  0.0000
Si  0.1328  0.3672  0.0000
Si  0.3672  0.8672  0.0000
Si  0.6328  0.1328  0.0000
Si  0.8672  0.6328  0.0000
Mo  0.1660  0.6660  0.5000
Mo  0.3340  0.1660  0.5000
Mo  0.6660  0.8340  0.5000
Mo  0.8340  0.3340  0.5000

A plane-wave DFT calculation with PBEsol was carried out for crystalline LiSi2Mo at its relaxed geometry.

Computed properties:
E above lowest polymorph (eV per atom): 0.232
Uncorrected formation energy (eV/atom): -0.02
Space group: Fm-3m (225)

a b c (Å): 5.9768 5.9768 5.9768
angles (deg): 90.00 90.00 90.00
Fractional coordinates of all 16 atoms:
Li  0.0000  0.0000  0.0000
Li  0.0000  0.5000  0.5000
Li  0.5000  0.0000  0.5000
Li  0.5000  0.5000  0.0000
Si  0.2500  0.2500  0.2500
Si  0.2500  0.2500  0.7500
Si  0.2500  0.7500  0.2500
Si  0.2500  0.7500  0.7500
Si  0.7500  0.2500  0.2500
Si  0.7500  0.2500  0.7500
Si  0.7500  0.7500  0.2500
Si  0.7500  0.7500  0.7500
Mo  0.0000  0.0000  0.5000
Mo  0.0000  0.5000  0.0000
Mo  0.5000  0.0000  0.0000
Mo  0.5000  0.5000  0.5000

A plane-wave DFT calculation with PBEsol was carried out for crystalline LiSi2Mo at its relaxed geometry.

Computed properties:
E above lowest polymorph (eV per atom): 0.000
Uncorrected formation energy (eV/atom): -0.25
Space group: P4/mmm (123)

a b c (Å): 3.1590 3.1590 5.3018
angles (deg): 90.00 90.00 90.00
Fractional coordinates of all 4 atoms:
Li  0.0000  0.0000  0.0000
Si  0.5000  0.5000  0.2481
Si  0.5000  0.5000  0.7519
Mo  0.0000  0.0000  0.5000

A plane-wave DFT calculation with PBEsol was carried out for crystalline LiSiMo3 at its relaxed geometry.

Computed properties:
Uncorrected formation energy (eV/atom): 1.24
Space group: Pm-3m (221)

a b c (Å): 4.4995 4.4995 4.4995
angles (deg): 90.00 90.00 90.00
Fractional coordinates of all 5 atoms:
Li  0.0000  0.0000  0.0000
Si  0.5000  0.5000  0.5000
Mo  0.0000  0.5000  0.5000
Mo  0.5000  0.0000  0.5000
Mo  0.5000  0.5000  0.0000